Entry 1:
Sm4Ga2Te: relaxed, GGA-PBE.

Cell lengths 7.9761, 7.9759, 7.9761 Å; angles 109.23, 109.22, 109.96 degrees
Last column: nearest neighbours and their distance in Å.
Element x y z (fractional)
Sm  0.0084  0.2596  0.3954  4 Ga 2.98-3.33, 1 Te 3.11
Sm  0.3859  0.4903  0.2488  4 Ga 2.98-3.33, 1 Te 3.12
Sm  0.8642  0.6130  0.6046  4 Ga 2.98-3.33, 1 Te 3.11
Sm  0.7403  0.1358  0.7488  4 Ga 2.98-3.33, 1 Te 3.12
Sm  0.3871  0.9915  0.2512  4 Ga 2.98-3.33, 1 Te 3.12
Sm  0.2416  0.1371  0.7512  4 Ga 2.98-3.33, 1 Te 3.12
Sm  0.5096  0.7584  0.8954  4 Ga 2.98-3.33, 1 Te 3.12
Sm  0.8630  0.6143  0.1046  4 Ga 2.98-3.33, 1 Te 3.12
Ga  0.4940  0.3750  0.6189  8 Sm 2.98-3.33
Ga  0.7561  0.8751  0.3811  8 Sm 2.98-3.33
Ga  0.6250  0.2440  0.1190  8 Sm 2.98-3.33
Ga  0.1251  0.5060  0.8811  8 Sm 2.98-3.33
Te  0.2499  0.7499  0.5000  8 Sm 3.12-3.37
Te  0.0000  0.0000  0.0000  8 Sm 3.11-3.37

Calculated values
Formation energy without anion corrections in meV/atom: -744.8
Crystal system: tetragonal

Entry 2:
Pm2SmCdC: relaxed, GGA-PBE.

Cell lengths 5.0478, 5.0935, 5.0935 Å; angles 90.00, 90.00, 90.00 degrees
Last column: nearest neighbours and their distance in Å.
Element x y z (fractional)
Pm  0.0000  0.0000  0.5000  2 C 2.55
Pm  0.0000  0.5000  0.0000  2 C 2.55
Sm  0.5000  0.0000  0.0000  2 C 2.52
Cd  0.5000  0.5000  0.5000  8 Pm 3.59, 4 Sm 3.60
C  0.0000  0.0000  0.0000  2 Sm 2.52, 4 Pm 2.55

Calculated values
Energy of formation in kJ/mol of formula units: -91
Crystal system: tetragonal

Entry 3:
BeCN2: relaxed, GGA-PBE.

Cell lengths 5.0028, 3.0064, 3.0062 Å; angles 120.00, 107.47, 72.51 degrees
Last column: nearest neighbours and their distance in Å.
Element x y z (fractional)
Be  0.9413  0.4580  0.3002  1 N 1.63
C  0.5393  0.2588  0.5000  2 N 1.17-1.30
N  0.8164  0.1665  0.5923  1 C 1.30
N  0.2891  0.3422  0.4165  1 C 1.17

Calculated values
Formation energy without anion corrections in meV/atom: -387.3
Crystal system: trigonal

Entry 4:
PaFeCo: relaxed, GGA-PBE.

Cell lengths 5.0115, 5.0204, 5.0204 Å; angles 57.58, 60.06, 60.06 degrees
Last column: nearest neighbours and their distance in Å.
Element x y z (fractional)
Pa  0.8737  0.3763  0.3763  6 Co 2.87-3.00, 6 Fe 2.93-2.96, 4 Pa 3.03-3.08
Pa  0.1263  0.6237  0.6237  6 Co 2.87-3.00, 6 Fe 2.93-2.96, 4 Pa 3.03-3.08
Fe  0.5000  0.5000  0.0000  2 Fe 2.42, 4 Co 2.51
Fe  0.5000  0.0000  0.5000  2 Fe 2.42, 4 Co 2.51
Co  0.0000  0.0000  0.0000  2 Co 2.51, 4 Fe 2.51
Co  0.5000  0.0000  0.0000  2 Co 2.51, 4 Fe 2.51

Calculated values
Energy of formation in kJ/mol of formula units: -81
Energy above the most stable polymorph in this dataset in meV/atom: 0.0
Crystal system: orthorhombic

Entry 5:
NpPaRh4: relaxed, GGA-PBE.

Cell lengths 5.3106, 5.3106, 5.3106 Å; angles 60.00, 60.00, 60.00 degrees
Last column: nearest neighbours and their distance in Å.
Element x y z (fractional)
Np  0.0000  0.0000  0.0000  12 Rh 3.11, 4 Pa 3.25
Pa  0.2500  0.2500  0.2500  12 Rh 3.11, 4 Np 3.25
Rh  0.6253  0.6253  0.1242  6 Rh 2.65-2.66
Rh  0.6253  0.1242  0.6253  6 Rh 2.65-2.66
Rh  0.6253  0.6253  0.6253  6 Rh 2.65-2.66
Rh  0.1242  0.6253  0.6253  6 Rh 2.65-2.66

Calculated values
Energy of formation in kJ/mol of formula units: -303
Crystal system: cubic

Entry 6:
Ac2PrEu: relaxed, GGA-PBE.

Cell lengths 3.8099, 3.8099, 13.7378 Å; angles 82.03, 82.03, 60.00 degrees
Last column: nearest neighbours and their distance in Å.
Element x y z (fractional)
Eu  0.5000  0.5000  0.5000  6 Eu 3.81, 6 Ac 3.92
Pr  0.0000  0.0000  0.0000  2 Ac 3.54, 6 Pr 3.81
Ac  0.0869  0.0869  0.7392  1 Pr 3.54, 6 Ac 3.81, 3 Eu 3.92
Ac  0.9131  0.9131  0.2608  1 Pr 3.54, 6 Ac 3.81, 3 Eu 3.92

Calculated values
Energy of formation in kJ/mol of formula units: 81
Energy above the most stable polymorph in this dataset in meV/atom: 192.2
Crystal system: trigonal

Entry 7:
POs3Pt: relaxed, GGA-PBE.

Cell lengths 4.7407, 4.7407, 4.7407 Å; angles 90.00, 90.00, 90.00 degrees
Last column: nearest neighbours and their distance in Å.
Element x y z (fractional)
P  0.5000  0.5000  0.5000  12 Os 3.35
Os  0.0000  0.5000  0.0000  2 Pt 2.37
Os  0.0000  0.0000  0.5000  2 Pt 2.37
Os  0.5000  0.0000  0.0000  2 Pt 2.37
Pt  0.0000  0.0000  0.0000  6 Os 2.37

Calculated values
Energy of formation in kJ/mol of formula units: 1372
Energy above the most stable polymorph in this dataset in meV/atom: 1834.6
Crystal system: cubic

Entry 8:
Ba2Bi2Pd: relaxed, GGA-PBE.

Cell lengths 5.0633, 6.7477, 11.3425 Å; angles 86.33, 77.10, 67.96 degrees
Last column: nearest neighbours and their distance in Å.
Element x y z (fractional)
Ba  0.6681  0.3251  0.3386  7 Bi 3.54-3.93, 4 Pd 3.64-3.75
Ba  0.9317  0.2555  0.8811  6 Bi 3.56-3.80, 2 Pd 3.73
Ba  0.3319  0.6749  0.6614  7 Bi 3.54-3.93, 4 Pd 3.64-3.75
Ba  0.0683  0.7445  0.1189  6 Bi 3.56-3.80, 2 Pd 3.73
Bi  0.1083  0.2294  0.5540  3 Pd 2.88-2.99
Bi  0.6369  0.8547  0.8714  1 Pd 2.90
Bi  0.8917  0.7706  0.4460  3 Pd 2.88-2.99
Bi  0.3631  0.1453  0.1286  1 Pd 2.90
Pd  0.6287  0.0935  0.6491  4 Bi 2.88-2.99
Pd  0.3713  0.9065  0.3509  4 Bi 2.88-2.99

Calculated values
Energy of formation in kJ/mol of formula units: -366
Energy above the most stable polymorph in this dataset in meV/atom: 0.0
Crystal system: monoclinic

Entry 9:
PaPF: relaxed, GGA-PBE.

Cell lengths 3.7781, 4.0286, 4.0286 Å; angles 120.00, 90.00, 90.00 degrees
Last column: nearest neighbours and their distance in Å.
Element x y z (fractional)
P  0.6666  0.3333  0.6667  6 F 3.00, 6 Pa 3.00
Pa  0.1666  0.6667  0.3333  3 F 2.33
F  0.1667  0.0000  0.0000  3 Pa 2.33

Calculated values
Formation energy without anion corrections in meV/atom: -2084.7
Energy above the most stable polymorph in this dataset in meV/atom: 0.0
Crystal system: hexagonal

Entry 10:
Pr8SnTe6: relaxed, GGA-PBE.

Cell lengths 4.5076, 11.4179, 11.4179 Å; angles 120.00, 90.00, 90.00 degrees
Last column: nearest neighbours and their distance in Å.
Element x y z (fractional)
Pr  0.7456  0.9669  0.2704  3 Te 3.10-3.19, 1 Sn 3.47
Pr  0.7456  0.7296  0.6965  3 Te 3.10-3.19, 1 Sn 3.47
Pr  0.7456  0.3035  0.0331  3 Te 3.10-3.19, 1 Sn 3.47
Pr  0.2544  0.0331  0.7296  3 Te 3.10-3.19, 1 Sn 3.47
Pr  0.2544  0.2704  0.3035  3 Te 3.10-3.19, 1 Sn 3.47
Pr  0.2544  0.6965  0.9669  3 Te 3.10-3.19, 1 Sn 3.47
Pr  0.7483  0.3333  0.6667  6 Te 3.19-3.20
Pr  0.2517  0.6667  0.3333  6 Te 3.19-3.20
Sn  0.5000  0.0000  0.0000  6 Pr 3.47
Te  0.7495  0.6450  0.1248  5 Pr 3.10-3.20
Te  0.7495  0.8752  0.5202  5 Pr 3.10-3.20
Te  0.7495  0.4798  0.3550  5 Pr 3.10-3.20
Te  0.2505  0.3550  0.8752  5 Pr 3.10-3.20
Te  0.2505  0.1248  0.4798  5 Pr 3.10-3.20
Te  0.2505  0.5202  0.6450  5 Pr 3.10-3.20

Calculated values
Formation energy without anion corrections in meV/atom: -1055.5
Crystal system: trigonal

Entry 11:
BaThCd: relaxed, GGA-PBE.

Cell lengths 3.6729, 3.6714, 18.0210 Å; angles 90.00, 90.00, 120.01 degrees
Last column: nearest neighbours and their distance in Å.
Element x y z (fractional)
Cd  0.6102  0.2204  0.0000  6 Ba 3.64, 6 Cd 3.67
Cd  0.2786  0.5572  0.5000  6 Th 3.38, 6 Cd 3.67
Th  0.6121  0.2241  0.3541  3 Cd 3.38, 6 Th 3.67
Th  0.6121  0.2241  0.6459  3 Cd 3.38, 6 Th 3.67
Ba  0.2768  0.5536  0.8357  3 Cd 3.64, 6 Ba 3.67, 3 Th 4.02-4.03
Ba  0.2768  0.5536  0.1643  3 Cd 3.64, 6 Ba 3.67, 3 Th 4.02-4.03

Calculated values
Energy of formation in kJ/mol of formula units: 58
Crystal system: orthorhombic

Entry 12:
GdTlAg4: relaxed, GGA-PBE.

Cell lengths 5.6493, 5.6493, 5.6493 Å; angles 60.00, 60.00, 60.00 degrees
Last column: nearest neighbours and their distance in Å.
Element x y z (fractional)
Tl  0.0000  0.0000  0.0000  12 Ag 3.31, 4 Gd 3.46
Gd  0.2500  0.2500  0.2500  12 Ag 3.31, 4 Tl 3.46
Ag  0.6250  0.6250  0.1251  6 Ag 2.82-2.83
Ag  0.6250  0.1251  0.6250  6 Ag 2.82-2.83
Ag  0.6250  0.6250  0.6250  6 Ag 2.82-2.83
Ag  0.1251  0.6250  0.6250  6 Ag 2.82-2.83

Calculated values
Energy of formation in kJ/mol of formula units: -101
Crystal system: cubic

Entry 13:
PaTeBr: relaxed, GGA-PBE.

Cell lengths 5.1849, 5.1849, 5.1849 Å; angles 60.00, 60.00, 60.00 degrees
Last column: nearest neighbours and their distance in Å.
Element x y z (fractional)
Pa  0.2500  0.2500  0.2500  4 Br 3.18, 4 Te 3.18
Te  0.0000  0.0000  0.0000  4 Pa 3.18
Br  0.5000  0.5000  0.5000  4 Pa 3.18

Calculated values
Formation energy without anion corrections in meV/atom: -718.4
Energy above the most stable polymorph in this dataset in meV/atom: 194.5
Crystal system: cubic

Entry 14:
TbNd4Dy2: relaxed, GGA-PBE.

Cell lengths 6.2350, 6.6733, 11.7114 Å; angles 90.00, 104.65, 90.00 degrees
Last column: nearest neighbours and their distance in Å.
Element x y z (fractional)
Tb  0.1505  0.7500  0.1617  6 Nd 3.37-3.52, 1 Dy 3.46
Tb  0.8495  0.2500  0.8383  6 Nd 3.37-3.52, 1 Dy 3.46
Nd  0.6470  0.5089  0.2851  4 Nd 3.22-3.50, 1 Tb 3.46, 1 Dy 3.54
Nd  0.0344  0.7500  0.8622  3 Tb 3.40-3.52, 2 Nd 3.41, 3 Dy 3.42-3.51
Nd  0.9656  0.2500  0.1378  3 Tb 3.40-3.52, 2 Nd 3.41, 3 Dy 3.42-3.51
Nd  0.6470  0.9911  0.2851  4 Nd 3.22-3.50, 1 Tb 3.46, 1 Dy 3.54
Nd  0.8494  0.2500  0.5506  1 Tb 3.37, 4 Dy 3.42-3.47, 4 Nd 3.50-3.62
Nd  0.3530  0.0089  0.7149  4 Nd 3.22-3.50, 1 Tb 3.46, 1 Dy 3.54
Nd  0.3530  0.4911  0.7149  4 Nd 3.22-3.50, 1 Tb 3.46, 1 Dy 3.54
Nd  0.1506  0.7500  0.4494  1 Tb 3.37, 4 Dy 3.42-3.47, 4 Nd 3.50-3.62
Dy  0.6054  0.7500  0.9957  6 Nd 3.42-3.70, 2 Tb 3.46-3.82, 2 Dy 3.60
Dy  0.3946  0.2500  0.0043  6 Nd 3.42-3.70, 2 Tb 3.46-3.82, 2 Dy 3.60
Dy  0.2886  0.2500  0.4254  9 Nd 3.42-3.68
Dy  0.7114  0.7500  0.5746  9 Nd 3.42-3.68

Calculated values
Energy of formation in kJ/mol of formula units: 83
Energy above the most stable polymorph in this dataset in meV/atom: 63.7
Crystal system: monoclinic

Entry 15:
Ba2Li3TbSb4: relaxed, GGA-PBE.

Cell lengths 4.9422, 4.9422, 12.0117 Å; angles 90.00, 90.00, 90.00 degrees
Last column: nearest neighbours and their distance in Å.
Element x y z (fractional)
Ba  0.5000  0.0000  0.2200  8 Sb 3.62-3.85, 5 Li 3.71-4.04
Ba  0.0000  0.5000  0.7800  8 Sb 3.62-3.85, 5 Li 3.71-4.04
Li  0.0000  0.0000  0.5000  4 Sb 3.03
Li  0.5000  0.0000  0.8833  5 Sb 2.84-2.85
Li  0.0000  0.5000  0.1167  5 Sb 2.84-2.85
Tb  0.5000  0.5000  0.5000  4 Sb 3.03
Sb  0.5000  0.5000  0.0000  4 Li 2.84
Sb  0.0000  0.0000  0.0000  4 Li 2.84
Sb  0.5000  0.0000  0.6460  3 Li 2.85-3.03, 2 Tb 3.03
Sb  0.0000  0.5000  0.3540  3 Li 2.85-3.03, 2 Tb 3.03

Calculated values
Formation energy without anion corrections in meV/atom: -837.2
Crystal system: tetragonal

Entry 16:
NdThZnIr: relaxed, GGA-PBE.

Cell lengths 5.1060, 5.1060, 5.1060 Å; angles 60.00, 60.00, 60.00 degrees
Last column: nearest neighbours and their distance in Å.
Element x y z (fractional)
Zn  0.5000  0.5000  0.5000  4 Nd 3.13, 4 Th 3.13
Ir  0.0000  0.0000  0.0000  4 Th 3.13, 4 Nd 3.13
Nd  0.7500  0.7500  0.7500  4 Ir 3.13, 4 Zn 3.13
Th  0.2500  0.2500  0.2500  4 Ir 3.13, 4 Zn 3.13

Calculated values
Energy of formation in kJ/mol of formula units: -171
Crystal system: cubic

Entry 17:
CaAl2Ag6: relaxed, GGA-PBE.

Cell lengths 5.7063, 5.7063, 7.0811 Å; angles 90.00, 90.00, 120.00 degrees
Last column: nearest neighbours and their distance in Å.
Element x y z (fractional)
Ca  0.0000  0.0000  0.0000  12 Ag 3.19-3.20
Al  0.3333  0.6667  0.5000  6 Ag 2.67
Al  0.6667  0.3333  0.5000  6 Ag 2.67
Ag  0.5002  0.0000  0.2032  2 Al 2.67, 5 Ag 2.85-2.88
Ag  0.4998  0.4998  0.2032  2 Al 2.67, 5 Ag 2.85-2.88
Ag  0.0000  0.5002  0.2032  2 Al 2.67, 5 Ag 2.85-2.88
Ag  0.5002  0.5002  0.7968  2 Al 2.67, 5 Ag 2.85-2.88
Ag  0.0000  0.4998  0.7968  2 Al 2.67, 5 Ag 2.85-2.88
Ag  0.4998  0.0000  0.7968  2 Al 2.67, 5 Ag 2.85-2.88

Calculated values
Energy of formation in kJ/mol of formula units: 3
Crystal system: hexagonal

Entry 18:
Y3BO6: relaxed, GGA-PBE.

Cell lengths 5.1722, 7.0524, 7.0524 Å; angles 102.90, 90.00, 90.00 degrees
Last column: nearest neighbours and their distance in Å.
Element x y z (fractional)
Y  0.4750  0.9181  0.6997  5 O 2.18-2.39
Y  0.9750  0.6997  0.9181  5 O 2.18-2.39
Y  0.4282  0.3952  0.6048  6 O 2.24-2.43
Y  0.9282  0.6048  0.3952  6 O 2.24-2.43
Y  0.9750  0.0819  0.3003  5 O 2.18-2.39
Y  0.4750  0.3003  0.0819  5 O 2.18-2.39
B  0.0274  0.1936  0.8064  4 O 1.51-1.53
B  0.5274  0.8064  0.1936  4 O 1.51-1.53
O  0.2051  0.6746  0.6465  4 Y 2.18-2.25
O  0.7051  0.6465  0.6746  4 Y 2.18-2.25
O  0.1508  0.3930  0.8826  1 B 1.53
O  0.6508  0.8826  0.3930  1 B 1.53
O  0.1325  0.0644  0.9356  1 B 1.53
O  0.7357  0.2038  0.7962  1 B 1.51
O  0.2357  0.7962  0.2038  1 B 1.51
O  0.6325  0.9356  0.0644  1 B 1.53
O  0.1508  0.1174  0.6070  1 B 1.53
O  0.6508  0.6070  0.1174  1 B 1.53
O  0.2051  0.3535  0.3254  4 Y 2.18-2.25
O  0.7051  0.3254  0.3535  4 Y 2.18-2.25

Calculated values
Formation energy without anion corrections in meV/atom: -3252.6
Crystal system: orthorhombic

Entry 19:
LaCoSn3: relaxed, GGA-PBE.

Cell lengths 6.2327, 8.5015, 9.2342 Å; angles 90.00, 90.00, 90.00 degrees
Last column: nearest neighbours and their distance in Å.
Element x y z (fractional)
La  0.4980  0.4598  0.7500  7 Sn 3.14-3.36
La  0.0020  0.9598  0.2500  7 Sn 3.14-3.36
La  0.5020  0.5402  0.2500  7 Sn 3.14-3.36
La  0.9980  0.0402  0.7500  7 Sn 3.14-3.36
Co  0.0000  0.5000  0.0000  6 Sn 2.43-2.71
Co  0.5000  0.0000  0.5000  6 Sn 2.43-2.71
Co  0.5000  0.0000  0.0000  6 Sn 2.43-2.71
Co  0.0000  0.5000  0.5000  6 Sn 2.43-2.71
Sn  0.7502  0.2497  0.0694  2 Co 2.71
Sn  0.7498  0.7497  0.5694  2 Co 2.71
Sn  0.7498  0.7497  0.9306  2 Co 2.71
Sn  0.2498  0.7503  0.5694  2 Co 2.71
Sn  0.2498  0.7503  0.9306  2 Co 2.71
Sn  0.2502  0.2503  0.4306  2 Co 2.71
Sn  0.2502  0.2503  0.0694  2 Co 2.71
Sn  0.7502  0.2497  0.4306  2 Co 2.71
Sn  0.4980  0.0894  0.7500  2 Co 2.43
Sn  0.0020  0.5894  0.2500  2 Co 2.43
Sn  0.5020  0.9106  0.2500  2 Co 2.43
Sn  0.9980  0.4106  0.7500  2 Co 2.43

Calculated values
Energy of formation in kJ/mol of formula units: -137
Crystal system: orthorhombic

Entry 20:
SrTl3I: relaxed, GGA-PBE.

Cell lengths 6.3053, 6.3053, 6.3053 Å; angles 90.00, 90.00, 90.00 degrees
Last column: nearest neighbours and their distance in Å.
Element x y z (fractional)
I  0.0000  0.0000  0.0000  6 Tl 3.15
Sr  0.5000  0.5000  0.5000  12 Tl 4.46
Tl  0.0000  0.5000  0.0000  2 I 3.15
Tl  0.0000  0.0000  0.5000  2 I 3.15
Tl  0.5000  0.0000  0.0000  2 I 3.15

Calculated values
Formation energy without anion corrections in meV/atom: 57.7
Energy above the most stable polymorph in this dataset in meV/atom: 0.0
Crystal system: cubic